(1)
First-principles (PBE-GGA) data for crystalline SrLiSi2 at its relaxed geometry, as listed in Alexandria via LeMat-Bulk.

Output
* E_form (uncorrected): -0.156 eV/atom
* size of the total moment: 0.00 μB/f.u.
* calculated density: 3.01 g/cm3
* SG: No. 47
* E_tot: -15.07 eV per cell
* polymorph energy (0 for the lowest one): 258 meV per atom

Lattice parameters (Å, degrees): 3.8972 3.2552 7.3163 63.63 90.00 90.00
Closest atoms and distances in Å follow each position.
Fractional positions:
Li 0.5000 0.7500 0.7500  8 Si 2.79
Si 0.0000 0.0721 0.9275  1 Si 2.33
Si 0.0000 0.4279 0.5725  1 Si 2.33
Sr 0.5000 0.2500 0.2500  2 Sr 3.26, 2 Li 3.28, 8 Si 3.30

***

(2)
First-principles (PBE-GGA) data for crystalline LiMgPRh at its relaxed geometry, as listed in Alexandria via LeMat-Bulk.

Output
* energy of formation: -491 meV per atom
* size of the total moment: 0.00 μB/f.u.
* calculated density: 5.02 g/cm3
* SG: No. 216
* E_tot: -18.23 eV per cell

Lattice parameters (Å, degrees): 4.2576 4.2576 4.2576 60.00 60.00 60.00
Closest atoms and distances in Å follow each position.
Fractional positions:
P 0.5000 0.5000 0.5000  4 Rh 2.61, 4 Li 2.61
Mg 0.0000 0.0000 0.0000  4 Li 2.61, 4 Rh 2.61
Rh 0.7500 0.7500 0.7500  4 P 2.61, 4 Mg 2.61
Li 0.2500 0.2500 0.2500  4 Mg 2.61, 4 P 2.61

***

(3)
First-principles (PBE-GGA) data for crystalline LiMnCl4 at its relaxed geometry, as listed in Alexandria via LeMat-Bulk.

Output
* E_form (uncorrected): 0.235 eV/atom
* size of the total moment: 7.30 μB/f.u.
* calculated density: 2.22 g/cm3
* SG: No. 216
* E_tot: -17.06 eV per cell
* polymorph energy (0 for the lowest one): 1491 meV per atom

Lattice parameters (Å, degrees): 5.9919 5.9919 5.9919 60.00 60.00 60.00
Closest atoms and distances in Å follow each position.
Fractional positions:
Li 0.7500 0.7500 0.7500  12 Cl 3.51, 4 Mn 3.67
Mn 0.0000 0.0000 0.0000  12 Cl 3.51, 4 Li 3.67
Cl 0.8759 0.3747 0.3747  6 Cl 2.99-3.00
Cl 0.3747 0.3747 0.8759  6 Cl 2.99-3.00
Cl 0.3747 0.8759 0.3747  6 Cl 2.99-3.00
Cl 0.3747 0.3747 0.3747  6 Cl 2.99-3.00

***

(4)
First-principles (PBE-GGA) data for crystalline TbErPu2S4 at its relaxed geometry, as listed in Alexandria via LeMat-Bulk.

Output
* E_form (uncorrected): -1.904 eV/atom
* size of the total moment: 11.41 μB/f.u.
* calculated density: 9.15 g/cm3
* SG: No. 10
* E_tot: -69.60 eV per cell

Lattice parameters (Å, degrees): 3.9130 6.7781 6.8329 109.29 90.00 90.00
Closest atoms and distances in Å follow each position.
Fractional positions:
Tb 0.0000 0.0000 0.0000  6 S 2.77
Er 0.5000 0.5000 0.0000  6 S 2.75
Pu 0.5000 0.0000 0.5000  6 S 2.80
Pu 0.0000 0.5000 0.5000  6 S 2.78
S 0.5000 0.2513 0.2465  1 Er 2.75, 2 Tb 2.77, 3 Pu 2.78-2.80
S 0.5000 0.7487 0.7535  1 Er 2.75, 2 Tb 2.77, 3 Pu 2.78-2.80
S 0.0000 0.2545 0.7556  2 Er 2.75, 1 Tb 2.77, 3 Pu 2.78-2.80
S 0.0000 0.7455 0.2444  2 Er 2.75, 1 Tb 2.77, 3 Pu 2.78-2.80

***

(5)
First-principles (PBE-GGA) data for crystalline PmNdSm2 at its relaxed geometry, as listed in Alexandria via LeMat-Bulk.

Output
* energy of formation: -2 meV per atom
* size of the total moment: 0.00 μB/f.u.
* calculated density: 7.15 g/cm3
* SG: No. 164
* E_tot: -18.97 eV per cell
* polymorph energy (0 for the lowest one): 0 meV per atom

Lattice parameters (Å, degrees): 3.6636 3.6636 11.7893 90.00 90.00 60.00
Closest atoms and distances in Å follow each position.
Fractional positions:
Pm 0.0000 0.0000 0.5000  6 Sm 3.62, 6 Pm 3.66
Nd 0.0000 0.0000 0.0000  6 Sm 3.63, 6 Nd 3.66
Sm 0.6667 0.6667 0.2507  3 Pm 3.62, 3 Nd 3.63, 6 Sm 3.66
Sm 0.3333 0.3333 0.7493  3 Pm 3.62, 3 Nd 3.63, 6 Sm 3.66

***

(6)
First-principles (PBE-GGA) data for crystalline Pa2TaBeN5 at its relaxed geometry, as listed in Alexandria via LeMat-Bulk.

Output
* E_form (uncorrected): -1.339 eV/atom
* size of the total moment: 0.00 μB/f.u.
* calculated density: 11.52 g/cm3
* SG: No. 36
* E_tot: -176.50 eV per cell

Lattice parameters (Å, degrees): 3.2060 6.8083 9.8159 90.00 90.00 103.62
Closest atoms and distances in Å follow each position.
Fractional positions:
Pa 0.8680 0.7361 0.8115  7 N 2.33-2.51
Pa 0.1160 0.2320 0.6920  8 N 2.42-2.58
Pa 0.1320 0.2639 0.3115  7 N 2.33-2.51
Pa 0.8840 0.7680 0.1920  8 N 2.42-2.58
Ta 0.8075 0.6150 0.5069  6 N 2.07-2.17
Ta 0.1925 0.3850 0.0069  6 N 2.07-2.17
Be 0.5043 0.0087 0.9734  3 N 1.75-1.83
Be 0.4957 0.9913 0.4734  3 N 1.75-1.83
N 0.3564 0.7129 0.0077  1 Be 1.99, 1 Ta 2.17
N 0.6931 0.3862 0.8595  2 Ta 2.16, 1 Pa 2.36
N 0.4943 0.9885 0.7879  1 Be 1.83
N 0.2969 0.5938 0.6548  2 Ta 2.17, 3 Pa 2.41-2.42
N 0.9627 0.9255 0.5302  2 Be 1.75
N 0.6436 0.2871 0.5077  1 Be 1.99, 1 Ta 2.17
N 0.3069 0.6138 0.3595  2 Ta 2.16, 1 Pa 2.36
N 0.5057 0.0115 0.2879  1 Be 1.83
N 0.7031 0.4062 0.1548  2 Ta 2.17, 3 Pa 2.41-2.42
N 0.0373 0.0745 0.0302  2 Be 1.75

***

(7)
First-principles (PBE-GGA) data for crystalline LaScCo2 at its relaxed geometry, as listed in Alexandria via LeMat-Bulk.

Output
* energy of formation: 152 meV per atom
* size of the total moment: 0.00 μB/f.u.
* calculated density: 6.64 g/cm3
* SG: No. 25
* E_tot: -24.86 eV per cell
* polymorph energy (0 for the lowest one): 278 meV per atom

Lattice parameters (Å, degrees): 3.2065 4.3614 5.3938 90.00 90.00 90.00
Closest atoms and distances in Å follow each position.
Fractional positions:
Co 0.0000 0.0000 0.9351  2 La 2.62-2.77, 4 Sc 2.76
Co 0.5000 0.5000 0.3051  1 Sc 2.52, 4 La 2.78
La 0.0000 0.0000 0.4211  6 Co 2.62-2.78
Sc 0.5000 0.5000 0.8387  5 Co 2.52-2.76

***

(8)
First-principles (PBE-GGA) data for crystalline TmUWC3 at its relaxed geometry, as listed in Alexandria via LeMat-Bulk.

Output
* energy of formation: 78 meV per atom
* size of the total moment: 0.00 μB/f.u.
* calculated density: 10.56 g/cm3
* SG: No. 11
* E_tot: -111.84 eV per cell

Lattice parameters (Å, degrees): 3.5836 6.9901 7.8806 92.82 90.00 90.00
Closest atoms and distances in Å follow each position.
Fractional positions:
Tm 0.7500 0.8535 0.8483  5 C 2.37-2.62
Tm 0.2500 0.1465 0.1517  5 C 2.37-2.62
U 0.2500 0.6276 0.1663  5 C 2.23-2.49
U 0.7500 0.3724 0.8337  5 C 2.23-2.49
W 0.2500 0.1073 0.5949  4 C 2.01-2.15
W 0.7500 0.8927 0.4051  4 C 2.01-2.15
C 0.2500 0.8153 0.4964  3 W 2.01-2.15
C 0.7500 0.8733 0.1496  1 W 2.01
C 0.7500 0.4096 0.1164  3 U 2.23-2.37
C 0.7500 0.1847 0.5036  3 W 2.01-2.15
C 0.2500 0.5904 0.8836  3 U 2.23-2.37
C 0.2500 0.1267 0.8504  1 W 2.01